Below is crystalline LiNbSe3 at its relaxed geometry, with properties calculated at the PBE level.

Properties
Raw formation energy (eV per atom): -0.704

a = 6.930 Å, b = 6.930 Å, c = 6.930 Å
α = 59.01°, β = 59.01°, γ = 59.01°
Fractional coordinates of all 10 atoms:
Nb  0.000  0.000  0.000
Nb  0.500  0.500  0.500
Se  0.877  0.623  0.250
Se  0.623  0.250  0.877
Se  0.250  0.877  0.623
Se  0.750  0.123  0.377
Se  0.377  0.750  0.123
Se  0.123  0.377  0.750
Li  0.250  0.250  0.250
Li  0.750  0.750  0.750

Below is crystalline LiNbSe3 at its relaxed geometry, with properties calculated at the PBE level.

Properties
Raw formation energy (eV per atom): -0.767

a = 20.246 Å, b = 8.279 Å, c = 8.279 Å
α = 153.88°, β = 152.99°, γ = 27.01°
Fractional coordinates of all 10 atoms:
Nb  0.673  0.961  0.039
Nb  0.327  0.039  0.961
Se  0.272  0.708  0.292
Se  0.728  0.292  0.708
Se  0.065  0.270  0.730
Se  0.935  0.730  0.270
Se  0.440  0.748  0.252
Se  0.560  0.252  0.748
Li  0.856  0.988  0.012
Li  0.144  0.012  0.988

Below is crystalline LiNb2Se2 at its relaxed geometry, with properties calculated at the PBE level.

Properties
Raw formation energy (eV per atom): -0.596

a = 3.923 Å, b = 3.923 Å, c = 7.580 Å
α = 75.00°, β = 75.00°, γ = 90.00°
Fractional coordinates of all 5 atoms:
Nb  0.750  0.250  0.500
Nb  0.250  0.750  0.500
Se  0.381  0.381  0.239
Se  0.619  0.619  0.761
Li  0.000  0.000  0.000